Here is an optimized crystal structure of ScRu2W from the Alexandria database. Energies are from PBE.

The structure in POSCAR format:
```
ScRu2W
1.0
5.361 0.003 0.000
2.663 4.653 0.000
-3.577 -3.078 2.544
Ru W Sc
2 1 1
direct
0.011 0.011 0.000
0.747 0.247 0.500
0.241 0.741 0.500
0.500 0.500 0.000
```

Summary:
density of states at the Fermi level	3.70	states/eV per cell
total moment	0.000	μB/atom
ΔH_f (0 K)	-0.10	eV per atom
volume	15.9	Å³/atom

---

Here is an optimized crystal structure of Sc2RuW from the Alexandria database. Energies are from PBE.

The structure in POSCAR format:
```
Sc2RuW
1.0
-1.523 -1.174 2.312
3.672 -0.160 2.338
-0.987 5.003 1.891
W Ru Sc
1 1 2
direct
0.000 0.000 0.519
0.500 0.500 0.725
0.000 0.000 0.991
0.500 0.500 0.264
```

Summary:
density of states at the Fermi level	2.13	states/eV per cell
total moment	0.000	μB/atom
ΔH_f (0 K)	0.12	eV per atom
energy above the lowest structure with this stoichiometry	0.2429	eV per atom
volume	17.8	Å³/atom

---

Here is an optimized crystal structure of ScRuW from the Alexandria database. Energies are from PBE.

The structure in POSCAR format:
```
ScRuW
1.0
-1.856 5.154 1.068
-5.069 2.131 0.953
3.719 -3.998 1.152
Sc W Ru
1 1 1
direct
0.337 0.337 0.000
0.654 0.654 0.000
0.009 0.009 0.000
```

Summary:
density of states at the Fermi level	1.48	states/eV per cell
total moment	0.000	μB/atom
ΔH_f (0 K)	-0.16	eV per atom
energy above the lowest structure with this stoichiometry	0.0000	eV per atom
volume	16.6	Å³/atom

---

Here is an optimized crystal structure of ScRu2W from the Alexandria database. Energies are from PBE.

The structure in POSCAR format:
```
ScRu2W
1.0
2.904 0.000 0.000
0.000 4.291 0.000
0.000 0.000 5.215
Ru W Sc
2 1 1
direct
0.500 0.500 0.308
0.000 0.000 0.954
0.500 0.500 0.781
0.000 0.000 0.458
```

Summary:
density of states at the Fermi level	2.50	states/eV per cell
total moment	0.000	μB/atom
ΔH_f (0 K)	0.00	eV per atom
volume	16.2	Å³/atom